First-principles (PBE-GGA) data for Na2Al4Ge3Au after structural relaxation, as listed in the Alexandria database.

Properties
The total energy is -0.133 Ha/atom. The calculation puts the formation energy at -0.16 eV/atom. The calculation puts the total magnetic moment at 0.0000 μB/atom. Its space group is No. 115.

abc: 4.3820 4.3820 10.7640
angles: 90.00 90.00 90.00
Last column: nearest neighbours and their distance in Å.
Fractional positions:
Al 0.0000 0.5000 0.3675  3 Ge 2.52-2.61, 2 Au 2.61
Al 0.5000 0.5000 0.0000  4 Ge 2.62
Al 0.0000 0.0000 0.0000  4 Ge 2.62
Al 0.5000 0.0000 0.6325  3 Ge 2.52-2.61, 2 Au 2.61
Au 0.5000 0.5000 0.5000  4 Al 2.61
Ge 0.5000 0.0000 0.8670  5 Al 2.52-2.62
Ge 0.0000 0.0000 0.5000  4 Al 2.61
Ge 0.0000 0.5000 0.1330  5 Al 2.52-2.62
Na 0.0000 0.5000 0.7391  8 Al 3.30-3.56, 6 Ge 3.38-3.39, 2 Au 3.38
Na 0.5000 0.0000 0.2609  8 Al 3.30-3.56, 6 Ge 3.38-3.39, 2 Au 3.38